# V2Cd2Ge, relaxed, DFT PBE
data_V2Cd2Ge
_space_group_name_H-M_alt 'P 1'
_space_group_IT_number 1
_space_group_name_Hall 'P 1'
_cell_length_a 9.248
_cell_length_b 9.248
_cell_length_c 9.248
_cell_angle_alpha 159.56
_cell_angle_beta 159.56
_cell_angle_gamma 29.07
loop_
_atom_site_label
_atom_site_type_symbol
_atom_site_fract_x
_atom_site_fract_y
_atom_site_fract_z
V1 V 0.250 0.750 0.500
V2 V 0.750 0.250 0.500
Cd1 Cd 0.112 0.112 0.000
Cd2 Cd 0.888 0.888 0.000
Ge1 Ge 0.500 0.500 0.000
# DFT formation energy = 482 meV/atom
# Energy above the lowest structure with this stoichiometry = 0.000 eV per atom

=====

# CdGe3W, relaxed, DFT PBE
data_CdGe3W
_space_group_name_H-M_alt 'P 1'
_space_group_IT_number 1
_space_group_name_Hall 'P 1'
_cell_length_a 4.952
_cell_length_b 4.952
_cell_length_c 4.952
_cell_angle_alpha 90.00
_cell_angle_beta 90.00
_cell_angle_gamma 90.00
loop_
_atom_site_label
_atom_site_type_symbol
_atom_site_fract_x
_atom_site_fract_y
_atom_site_fract_z
Cd1 Cd 0.000 0.000 0.000
Ge1 Ge 0.000 0.500 0.500
Ge2 Ge 0.500 0.000 0.500
Ge3 Ge 0.500 0.500 0.000
W1 W 0.500 0.500 0.500
# DFT formation energy = 392 meV/atom
# Energy above the lowest structure with this stoichiometry = 0.000 eV per atom

=====

# Cd3GeW, relaxed, DFT PBE
data_Cd3GeW
_space_group_name_H-M_alt 'P 1'
_space_group_IT_number 1
_space_group_name_Hall 'P 1'
_cell_length_a 5.118
_cell_length_b 5.118
_cell_length_c 5.118
_cell_angle_alpha 90.00
_cell_angle_beta 90.00
_cell_angle_gamma 90.00
loop_
_atom_site_label
_atom_site_type_symbol
_atom_site_fract_x
_atom_site_fract_y
_atom_site_fract_z
Cd1 Cd 0.000 0.000 0.500
Cd2 Cd 0.000 0.500 0.000
Cd3 Cd 0.500 0.000 0.000
Ge1 Ge 0.000 0.000 0.000
W1 W 0.500 0.500 0.500
# DFT formation energy = 1431 meV/atom
# Energy above the lowest structure with this stoichiometry = 0.075 eV per atom

=====

# Cd2GeW, relaxed, DFT PBE
data_Cd2GeW
_space_group_name_H-M_alt 'P 1'
_space_group_IT_number 1
_space_group_name_Hall 'P 1'
_cell_length_a 6.103
_cell_length_b 6.103
_cell_length_c 6.103
_cell_angle_alpha 100.77
_cell_angle_beta 100.77
_cell_angle_gamma 128.77
loop_
_atom_site_label
_atom_site_type_symbol
_atom_site_fract_x
_atom_site_fract_y
_atom_site_fract_z
Cd1 Cd 0.115 0.625 0.990
Cd2 Cd 0.375 0.365 0.490
Cd3 Cd 0.635 0.125 0.010
Cd4 Cd 0.875 0.885 0.510
Ge1 Ge 0.000 0.000 0.000
Ge2 Ge 0.750 0.250 0.500
W1 W 0.250 0.750 0.500
W2 W 0.500 0.500 0.000
# DFT formation energy = 849 meV/atom

=====

# Cd3GeW, relaxed, DFT PBE
data_Cd3GeW
_space_group_name_H-M_alt 'P 1'
_space_group_IT_number 1
_space_group_name_Hall 'P 1'
_cell_length_a 5.260
_cell_length_b 5.260
_cell_length_c 5.260
_cell_angle_alpha 90.00
_cell_angle_beta 90.00
_cell_angle_gamma 90.00
loop_
_atom_site_label
_atom_site_type_symbol
_atom_site_fract_x
_atom_site_fract_y
_atom_site_fract_z
Cd1 Cd 0.000 0.000 0.500
Cd2 Cd 0.000 0.500 0.000
Cd3 Cd 0.500 0.000 0.000
Ge1 Ge 0.500 0.500 0.500
W1 W 0.000 0.000 0.000
# DFT formation energy = 1356 meV/atom
# Energy above the lowest structure with this stoichiometry = 0.000 eV per atom

=====

# YCd2Ge2, relaxed, DFT PBE
data_YCd2Ge2
_space_group_name_H-M_alt 'P 1'
_space_group_IT_number 1
_space_group_name_Hall 'P 1'
_cell_length_a 7.009
_cell_length_b 7.009
_cell_length_c 7.009
_cell_angle_alpha 145.16
_cell_angle_beta 145.16
_cell_angle_gamma 50.09
loop_
_atom_site_label
_atom_site_type_symbol
_atom_site_fract_x
_atom_site_fract_y
_atom_site_fract_z
Y1 Y 0.000 0.000 0.000
Cd1 Cd 0.250 0.750 0.500
Cd2 Cd 0.750 0.250 0.500
Ge1 Ge 0.402 0.402 0.000
Ge2 Ge 0.598 0.598 0.000
# DFT formation energy = -246 meV/atom
# Energy above the lowest structure with this stoichiometry = 0.000 eV per atom

=====

# YCd3Ge, relaxed, DFT PBE
data_YCd3Ge
_space_group_name_H-M_alt 'P 1'
_space_group_IT_number 1
_space_group_name_Hall 'P 1'
_cell_length_a 5.746
_cell_length_b 5.746
_cell_length_c 5.746
_cell_angle_alpha 90.00
_cell_angle_beta 90.00
_cell_angle_gamma 90.00
loop_
_atom_site_label
_atom_site_type_symbol
_atom_site_fract_x
_atom_site_fract_y
_atom_site_fract_z
Y1 Y 0.000 0.000 0.000
Cd1 Cd 0.000 0.000 0.500
Cd2 Cd 0.000 0.500 0.000
Cd3 Cd 0.500 0.000 0.000
Ge1 Ge 0.500 0.500 0.500
# DFT formation energy = 962 meV/atom
# Energy above the lowest structure with this stoichiometry = 0.691 eV per atom

=====

# YCdGe3, relaxed, DFT PBE
data_YCdGe3
_space_group_name_H-M_alt 'P 1'
_space_group_IT_number 1
_space_group_name_Hall 'P 1'
_cell_length_a 5.453
_cell_length_b 5.453
_cell_length_c 5.453
_cell_angle_alpha 90.00
_cell_angle_beta 90.00
_cell_angle_gamma 90.00
loop_
_atom_site_label
_atom_site_type_symbol
_atom_site_fract_x
_atom_site_fract_y
_atom_site_fract_z
Y1 Y 0.000 0.000 0.000
Cd1 Cd 0.500 0.500 0.500
Ge1 Ge 0.000 0.000 0.500
Ge2 Ge 0.000 0.500 0.000
Ge3 Ge 0.500 0.000 0.000
# DFT formation energy = 666 meV/atom
# Energy above the lowest structure with this stoichiometry = 0.201 eV per atom

=====

| no. | DFT total energy (eV per atom) |
| --- | --- |
| 1 | -4.4553 |
| 2 | -5.1525 |
| 3 | -2.6321 |
| 4 | -4.0009 |
| 5 | -2.7072 |
| 6 | -3.7517 |
| 7 | -1.8036 |
| 8 | -3.5799 |